1.
A relaxed MgSiMo2 crystal, computed with PBE.

Geometry as CIF:
```
data_MgSiMo2
_space_group_name_H-M_alt 'P m m m'
_space_group_IT_number 47
_space_group_name_Hall '-P 2 2'
_cell_length_a 2.739
_cell_length_b 4.131
_cell_length_c 5.499
_cell_angle_alpha 90.00
_cell_angle_beta 90.00
_cell_angle_gamma 90.00
loop_
_atom_site_label
_atom_site_fract_x
_atom_site_fract_y
_atom_site_fract_z
Mg1 0.000 0.000 0.000
Si1 0.000 0.000 0.500
Mo1 0.500 0.500 0.266
```

=====

2.
A relaxed MgSiMo crystal, computed with PBE.

Geometry as CIF:
```
data_MgSiMo
_space_group_name_H-M_alt 'I 4 m m'
_space_group_IT_number 107
_space_group_name_Hall 'I 4 -2'
_cell_length_a 2.769
_cell_length_b 2.769
_cell_length_c 12.662
_cell_angle_alpha 90.00
_cell_angle_beta 90.00
_cell_angle_gamma 90.00
loop_
_atom_site_label
_atom_site_fract_x
_atom_site_fract_y
_atom_site_fract_z
Mg1 0.000 0.000 0.000
Si1 0.000 0.000 0.324
Mo1 0.000 0.000 0.678
```

Computed properties:
distance to the lowest polymorph of the same formula	352	meV per atom

=====

3.
A relaxed MgSi2Mo crystal, computed with PBE.

Geometry as CIF:
```
data_MgSi2Mo
_space_group_name_H-M_alt 'F -4 3 m'
_space_group_IT_number 216
_space_group_name_Hall 'F -4 2 3'
_cell_length_a 6.234
_cell_length_b 6.234
_cell_length_c 6.234
_cell_angle_alpha 90.00
_cell_angle_beta 90.00
_cell_angle_gamma 90.00
loop_
_atom_site_label
_atom_site_fract_x
_atom_site_fract_y
_atom_site_fract_z
Mg1 0.000 0.000 0.000
Si1 0.000 0.000 0.500
Si2 0.250 0.250 0.250
Mo1 0.250 0.250 0.750
```

=====

4.
A relaxed MgSi2Mo crystal, computed with PBE.

Geometry as CIF:
```
data_MgSi2Mo
_space_group_name_H-M_alt 'C m m m'
_space_group_IT_number 65
_space_group_name_Hall '-C 2 2'
_cell_length_a 5.579
_cell_length_b 7.566
_cell_length_c 2.839
_cell_angle_alpha 90.00
_cell_angle_beta 90.00
_cell_angle_gamma 90.00
loop_
_atom_site_label
_atom_site_fract_x
_atom_site_fract_y
_atom_site_fract_z
Mg1 0.000 0.000 0.000
Si1 0.250 0.250 0.500
Mo1 0.000 0.500 0.000
```

=====

5.
A relaxed MgSiMo2 crystal, computed with PBE.

Geometry as CIF:
```
data_MgSiMo2
_space_group_name_H-M_alt 'C m m m'
_space_group_IT_number 65
_space_group_name_Hall '-C 2 2'
_cell_length_a 5.428
_cell_length_b 8.440
_cell_length_c 2.695
_cell_angle_alpha 90.00
_cell_angle_beta 90.00
_cell_angle_gamma 90.00
loop_
_atom_site_label
_atom_site_fract_x
_atom_site_fract_y
_atom_site_fract_z
Mg1 0.000 0.000 0.000
Si1 0.000 0.500 0.000
Mo1 0.250 0.250 0.500
```

=====

6.
A relaxed MgSi2Mo crystal, computed with PBE.

Geometry as CIF:
```
data_MgSi2Mo
_space_group_name_H-M_alt 'R -3 m'
_space_group_IT_number 166
_space_group_name_Hall '-R 3 2"'
_cell_length_a 3.0771
_cell_length_b 3.0771
_cell_length_c 24.1906
_cell_angle_alpha 90.00
_cell_angle_beta 90.00
_cell_angle_gamma 120.00
loop_
_atom_site_label
_atom_site_fract_x
_atom_site_fract_y
_atom_site_fract_z
Mg1 0.0000 0.0000 0.0000
Si1 0.0000 0.0000 0.2416
Mo1 0.0000 0.0000 0.5000
```

=====

Formation energy without anion corrections (computed, eV per atom): 0.244; 0.187; 0.476; 0.118; 0.228; -0.030
Fermi-level density of states (computed, states/eV/cell): 3.311; 4.266; 9.740; 4.094; 3.857; 5.626
Uncorrected energy (computed, eV per atom): -6.926; -5.762; -5.342; -5.700; -6.942; -5.848